1.
A plane-wave DFT calculation with meta-GGA SCAN was carried out for a crystal of Mg2TlRh relaxed with PBEsol.

## Properties
For the density, the calculation gives 7835 kg/m3. The density of states at the Fermi level is 1.4 states/eV per cell. Its total energy is -29.2586 eV per atom. The calculation puts the formation energy at -0.24 eV per atom.

Lattice parameters (Å, degrees): 3.1215 4.4217 5.6833 90.00 105.93 90.00
Last column: nearest neighbours and their distance in Å.
Sites, in units of the cell vectors:
Mg: 0.0503 0.0000 0.9769  1 Rh 2.67, 4 Tl 2.96
Mg: 0.7134 0.5000 0.3014  4 Rh 2.85, 3 Tl 2.93-2.98, 2 Mg 3.12
Rh: 0.2963 0.0000 0.4658  5 Mg 2.67-2.85, 2 Tl 2.72
Tl: 0.4399 0.5000 0.7559  2 Rh 2.72, 7 Mg 2.93-2.98

***

2.
A plane-wave DFT calculation with meta-GGA SCAN was carried out for a crystal of Mg2TlRh relaxed with PBEsol.

## Properties
For the density, the calculation gives 7869 kg/m3. The density of states at the Fermi level is 1.5 states/eV per cell. Its total energy is -29.4053 eV per atom. The calculation puts the formation energy at -0.39 eV per atom.

Lattice parameters (Å, degrees): 3.1963 3.1963 7.3510 90.00 90.00 90.00
Last column: nearest neighbours and their distance in Å.
Sites, in units of the cell vectors:
Tl: 0.5000 0.5000 0.5000  8 Mg 3.18, 4 Tl 3.20
Rh: 0.5000 0.5000 0.0000  8 Mg 2.68
Mg: 0.0000 0.0000 0.8041  4 Rh 2.68, 1 Mg 2.88
Mg: 0.0000 0.0000 0.1959  4 Rh 2.68, 1 Mg 2.88

***

3.
A plane-wave DFT calculation with meta-GGA SCAN was carried out for a crystal of Mg2TlRh relaxed with PBEsol.

## Properties
For the density, the calculation gives 8273 kg/m3. The density of states at the Fermi level is 1.7 states/eV per cell. Its total energy is -29.2816 eV per atom. The calculation puts the formation energy at -0.26 eV per atom.

Lattice parameters (Å, degrees): 4.0973 4.0973 5.1478 113.45 113.45 90.00
Last column: nearest neighbours and their distance in Å.
Sites, in units of the cell vectors:
Mg: 0.7500 0.2500 0.5000  4 Mg 2.90, 4 Tl 2.95, 4 Rh 2.95
Mg: 0.2500 0.7500 0.5000  4 Mg 2.90, 4 Tl 2.95, 4 Rh 2.95
Rh: 0.5000 0.5000 0.0000  4 Tl 2.90, 8 Mg 2.95
Tl: 0.0000 0.0000 0.0000  4 Rh 2.90, 8 Mg 2.95

***

4.
A plane-wave DFT calculation with meta-GGA SCAN was carried out for a crystal of Mg2TlRh2 relaxed with PBEsol.

## Properties
For the density, the calculation gives 8907 kg/m3. The density of states at the Fermi level is 5.0 states/eV per cell. Its total energy is -30.3059 eV per atom. The calculation puts the formation energy at -0.34 eV per atom.

Lattice parameters (Å, degrees): 3.3145 7.1843 7.1843 90.00 90.00 90.00
Last column: nearest neighbours and their distance in Å.
Sites, in units of the cell vectors:
Tl: 0.0000 0.0000 0.0000  4 Rh 2.74
Tl: 0.0000 0.5000 0.5000  4 Rh 2.74
Rh: 0.0000 0.3523 0.8523  6 Mg 2.66-2.69, 2 Tl 2.74
Rh: 0.0000 0.8523 0.6477  6 Mg 2.66-2.69, 2 Tl 2.74
Rh: 0.0000 0.6477 0.1477  6 Mg 2.66-2.69, 2 Tl 2.74
Rh: 0.0000 0.1477 0.3523  6 Mg 2.66-2.69, 2 Tl 2.74
Mg: 0.5000 0.1476 0.6476  6 Rh 2.66-2.69
Mg: 0.5000 0.6476 0.8524  6 Rh 2.66-2.69
Mg: 0.5000 0.8524 0.3524  6 Rh 2.66-2.69
Mg: 0.5000 0.3524 0.1476  6 Rh 2.66-2.69

***

5.
A plane-wave DFT calculation with meta-GGA SCAN was carried out for a crystal of TmMgRh2 relaxed with PBEsol.

## Properties
For the density, the calculation gives 10028 kg/m3. The density of states at the Fermi level is 1.7 states/eV per cell. Its total energy is -31.9661 eV per atom. The calculation puts the formation energy at -0.88 eV per atom.

Lattice parameters (Å, degrees): 4.5380 4.5380 4.5380 60.00 60.00 60.00
Last column: nearest neighbours and their distance in Å.
Sites, in units of the cell vectors:
Mg: 0.0000 0.0000 0.0000  8 Rh 2.78
Tm: 0.5000 0.5000 0.5000  8 Rh 2.78
Rh: 0.7500 0.7500 0.7500  4 Mg 2.78, 4 Tm 2.78
Rh: 0.2500 0.2500 0.2500  4 Mg 2.78, 4 Tm 2.78

***

6.
A plane-wave DFT calculation with meta-GGA SCAN was carried out for a crystal of Tm4MgRh relaxed with PBEsol.

## Properties
For the density, the calculation gives 8988 kg/m3. The density of states at the Fermi level is 20.9 states/eV per cell. Its total energy is -41.4934 eV per atom. The calculation puts the formation energy at -0.48 eV per atom.

Lattice parameters (Å, degrees): 9.4323 9.4323 9.4323 60.00 60.00 60.00
Last column: nearest neighbours and their distance in Å.
Sites, in units of the cell vectors:
Tm: 0.4035 0.4035 0.7895  3 Rh 2.74
Tm: 0.7895 0.4035 0.4035  3 Rh 2.74
Tm: 0.4035 0.4035 0.4035  3 Rh 2.74
Tm: 0.4035 0.7895 0.4035  3 Rh 2.74
Tm: 0.5631 0.9369 0.9369  2 Rh 2.74
Tm: 0.9369 0.5631 0.5631  2 Rh 2.74
Tm: 0.5631 0.5631 0.9369  2 Rh 2.74
Tm: 0.9369 0.9369 0.5631  2 Rh 2.74
Tm: 0.9369 0.5631 0.9369  2 Rh 2.74
Tm: 0.5631 0.9369 0.5631  2 Rh 2.74
Tm: 0.1854 0.8146 0.8146  2 Mg 3.22, 2 Rh 3.43, 10 Tm 3.43-3.55
Tm: 0.8146 0.1854 0.1854  2 Mg 3.22, 2 Rh 3.43, 10 Tm 3.43-3.55
Tm: 0.1854 0.1854 0.8146  2 Mg 3.22, 2 Rh 3.43, 10 Tm 3.43-3.55
Tm: 0.8146 0.8146 0.1854  2 Mg 3.22, 2 Rh 3.43, 10 Tm 3.43-3.55
Tm: 0.8146 0.1854 0.8146  2 Mg 3.22, 2 Rh 3.43, 10 Tm 3.43-3.55
Tm: 0.1854 0.8146 0.1854  2 Mg 3.22, 2 Rh 3.43, 10 Tm 3.43-3.55
Mg: 0.1701 0.1701 0.4897  3 Mg 3.01, 3 Tm 3.22
Mg: 0.4897 0.1701 0.1701  3 Mg 3.01, 3 Tm 3.22
Mg: 0.1701 0.1701 0.1701  3 Mg 3.01, 3 Tm 3.22
Mg: 0.1701 0.4897 0.1701  3 Mg 3.01, 3 Tm 3.22
Rh: 0.6082 0.6082 0.1754  6 Tm 2.74
Rh: 0.1754 0.6082 0.6082  6 Tm 2.74
Rh: 0.6082 0.6082 0.6082  6 Tm 2.74
Rh: 0.6082 0.1754 0.6082  6 Tm 2.74

***

7.
A plane-wave DFT calculation with meta-GGA SCAN was carried out for a crystal of MgRh2W relaxed with PBEsol.

## Properties
For the density, the calculation gives 11719 kg/m3. The density of states at the Fermi level is 1.7 states/eV per cell. Its total energy is -35.9305 eV per atom. The calculation puts the formation energy at -0.38 eV per atom.

Lattice parameters (Å, degrees): 2.8518 2.8518 7.2121 90.00 90.00 90.00
Last column: nearest neighbours and their distance in Å.
Sites, in units of the cell vectors:
Mg: 0.5000 0.5000 0.5000  8 Rh 2.74, 4 Mg 2.85
Rh: 0.0000 0.0000 0.7568  4 W 2.67, 4 Mg 2.74, 4 Rh 2.85
Rh: 0.0000 0.0000 0.2432  4 W 2.67, 4 Mg 2.74, 4 Rh 2.85
W: 0.5000 0.5000 0.0000  8 Rh 2.67, 4 W 2.85

***

8.
A plane-wave DFT calculation with meta-GGA SCAN was carried out for a crystal of MgRh2W relaxed with PBEsol.

## Properties
For the density, the calculation gives 11636 kg/m3. The density of states at the Fermi level is 1.9 states/eV per cell. Its total energy is -35.8461 eV per atom. The calculation puts the formation energy at -0.29 eV per atom.

Lattice parameters (Å, degrees): 2.8101 3.5844 5.8650 90.00 90.00 90.00
Last column: nearest neighbours and their distance in Å.
Sites, in units of the cell vectors:
Mg: 0.5000 0.5000 0.5000  8 Rh 2.74, 2 Mg 2.81, 2 W 2.93
Rh: 0.0000 0.0000 0.7608  4 W 2.67, 4 Mg 2.74, 3 Rh 2.81
Rh: 0.0000 0.0000 0.2392  4 W 2.67, 4 Mg 2.74, 3 Rh 2.81
W: 0.5000 0.5000 0.0000  8 Rh 2.67, 2 W 2.81, 2 Mg 2.93

***

9.
A plane-wave DFT calculation with meta-GGA SCAN was carried out for a crystal of MgRh2W relaxed with PBEsol.

## Properties
For the density, the calculation gives 11661 kg/m3. The density of states at the Fermi level is 2.5 states/eV per cell. Its total energy is -35.7825 eV per atom. The calculation puts the formation energy at -0.23 eV per atom.

Lattice parameters (Å, degrees): 2.7795 4.6344 4.8621 100.37 106.61 90.00
Last column: nearest neighbours and their distance in Å.
Sites, in units of the cell vectors:
Mg: 0.2591 0.7973 0.5182  7 Rh 2.59-2.71, 2 Mg 2.78, 1 W 2.89
Rh: 0.0083 0.9595 0.0165  3 Mg 2.59-2.69, 4 W 2.71, 4 Rh 2.78-2.81
Rh: 0.7449 0.2906 0.4898  3 W 2.64, 4 Mg 2.70-2.71, 4 Rh 2.78-2.81
W: 0.4878 0.4526 0.9755  7 Rh 2.64-2.71, 2 W 2.78, 1 Mg 2.89

***

10.
A plane-wave DFT calculation with meta-GGA SCAN was carried out for a crystal of Mg2RhW relaxed with PBEsol.

## Properties
For the density, the calculation gives 8781 kg/m3. The density of states at the Fermi level is 2.3 states/eV per cell. Its total energy is -28.2087 eV per atom. The calculation puts the formation energy at 0.14 eV per atom.

Lattice parameters (Å, degrees): 2.7439 5.1987 5.2766 115.79 98.68 102.79
Last column: nearest neighbours and their distance in Å.
Sites, in units of the cell vectors:
Mg: 0.5000 0.5000 0.5000  4 Mg 2.66-2.74, 2 Rh 2.78, 2 W 2.78
Mg: 0.0000 0.0000 0.5000  4 Mg 2.66-2.74, 2 W 2.78, 2 Rh 2.78
Rh: 0.0000 0.5000 0.0000  2 W 2.66, 2 Rh 2.74, 4 Mg 2.78
W: 0.5000 0.0000 0.0000  2 Rh 2.66, 2 W 2.74, 4 Mg 2.78

***

11.
A plane-wave DFT calculation with meta-GGA SCAN was carried out for a crystal of MgRh2W relaxed with PBEsol.

## Properties
For the density, the calculation gives 11717 kg/m3. The density of states at the Fermi level is 7.1 states/eV per cell. Its total energy is -35.2950 eV per atom. The calculation puts the formation energy at 0.26 eV per atom.

Lattice parameters (Å, degrees): 4.3615 4.3615 4.3615 60.00 60.00 60.00
Last column: nearest neighbours and their distance in Å.
Sites, in units of the cell vectors:
Mg: 0.5000 0.5000 0.5000  4 Rh 2.67, 4 W 2.67
Rh: 0.0000 0.0000 0.0000  4 W 2.67, 4 Rh 2.67
Rh: 0.2500 0.2500 0.2500  4 Mg 2.67, 4 Rh 2.67
W: 0.7500 0.7500 0.7500  4 Mg 2.67, 4 Rh 2.67

***

12.
A plane-wave DFT calculation with meta-GGA SCAN was carried out for a crystal of MgRh2W relaxed with PBEsol.

## Properties
For the density, the calculation gives 11700 kg/m3. The density of states at the Fermi level is 3.9 states/eV per cell. Its total energy is -35.7799 eV per atom. The calculation puts the formation energy at -0.23 eV per atom.

Lattice parameters (Å, degrees): 2.8243 4.5610 4.5610 90.00 90.00 90.00
Last column: nearest neighbours and their distance in Å.
Sites, in units of the cell vectors:
Mg: 0.5000 0.0000 0.0000  8 Rh 2.68, 2 Mg 2.82
Rh: 0.0000 0.0000 0.5000  4 W 2.68, 4 Mg 2.68, 2 Rh 2.82
Rh: 0.0000 0.5000 0.0000  4 W 2.68, 4 Mg 2.68, 2 Rh 2.82
W: 0.5000 0.5000 0.5000  8 Rh 2.68, 2 W 2.82